No. 1
NbBi3B: optimized geometry, PBE.

Summary:
DFT total energy in eV per atom: -4.51
Energy above the most stable polymorph in this dataset in meV/atom: 0
Formation energy from the elements in eV per formula unit: 5.86

Lattice parameters (Å, degrees): 4.969 4.969 4.969 90.00 90.00 90.00
Sites, in units of the cell vectors:
1 Nb 0.000 0.000 0.000
2 Bi 0.000 0.500 0.500
3 Bi 0.500 0.000 0.500
4 Bi 0.500 0.500 0.000
5 B 0.500 0.500 0.500

---

No. 2
Rb2LiFeI6: optimized geometry, PBE.

Summary:
DFT total energy in eV per atom: -2.97
Energy above the most stable polymorph in this dataset in meV/atom: 0
Raw formation energy in eV/atom: -0.807

Lattice parameters (Å, degrees): 8.022 8.022 7.064 90.00 90.00 120.00
Sites, in units of the cell vectors:
1 Rb 0.333 0.667 0.301
2 Rb 0.667 0.333 0.699
3 Li 0.000 0.000 0.000
4 Fe 0.000 0.000 0.500
5 I 0.156 0.313 0.721
6 I 0.156 0.844 0.721
7 I 0.313 0.156 0.279
8 I 0.687 0.844 0.721
9 I 0.844 0.156 0.279
10 I 0.844 0.687 0.279

---

No. 3
Y2CdH: optimized geometry, PBE.

Summary:
DFT total energy in eV per atom: -4.20
Energy above the most stable polymorph in this dataset in meV/atom: 388

Lattice parameters (Å, degrees): 5.072 5.072 5.072 60.00 60.00 60.00
Sites, in units of the cell vectors:
1 Y 0.250 0.250 0.250
2 Y 0.750 0.750 0.750
3 Cd 0.000 0.000 0.000
4 H 0.500 0.500 0.500

---

No. 4
Pr2NdCd3: optimized geometry, PBE.

Summary:
DFT total energy in eV per atom: -3.17
Energy above the most stable polymorph in this dataset in meV/atom: 0
Formation energy from the elements in eV per formula unit: -1.92

Lattice parameters (Å, degrees): 5.479 5.479 6.709 90.00 90.00 120.00
Sites, in units of the cell vectors:
1 Pr 0.333 0.667 0.167
2 Pr 0.667 0.333 0.833
3 Nd 0.000 0.000 0.500
4 Cd 0.000 0.000 0.000
5 Cd 0.333 0.667 0.666
6 Cd 0.667 0.333 0.334